[1]
TaSbAsBr2: optimized geometry, PBE.

Calculated values
Relative energy among the computed polymorphs = 0 meV/atom
Magnetization = 1.53 μB per cell

Unit cell a=5.035 b=5.035 c=5.321 alpha=90.00 beta=90.00 gamma=90.00
Space group P4/mmm (No. 123)
One atom of each set of equivalent atoms:
1 Ta 0.000 0.000 0.000 x1
2 Sb 0.500 0.500 0.500 x1
3 As 0.000 0.000 0.500 x1
4 Br 0.000 0.500 0.000 x2

=====

[2]
TaSbAs2Br: optimized geometry, PBE.

Calculated values
Relative energy among the computed polymorphs = 1063 meV/atom
Magnetization = 2.15 μB per cell

Unit cell a=5.236 b=5.236 c=5.231 alpha=90.00 beta=90.00 gamma=90.00
Space group P4/mmm (No. 123)
One atom of each set of equivalent atoms:
1 Ta 0.000 0.000 0.000 x1
2 Sb 0.500 0.500 0.500 x1
3 As 0.000 0.500 0.500 x2
4 Br 0.500 0.500 0.000 x1

=====

[3]
TaSbAs2Br: optimized geometry, PBE.

Calculated values
Relative energy among the computed polymorphs = 0 meV/atom
Magnetization = 0.00 μB per cell

Unit cell a=5.119 b=5.119 c=4.958 alpha=90.00 beta=90.00 gamma=90.00
Space group P4/mmm (No. 123)
One atom of each set of equivalent atoms:
1 Ta 0.000 0.000 0.000 x1
2 Sb 0.500 0.500 0.500 x1
3 As 0.000 0.500 0.000 x2
4 Br 0.000 0.000 0.500 x1